(1)
VASP calculation (PBE+U) on RbWI2O after structural relaxation.

Calculated values
symmetry	P4/mmm
polymorph energy (0 for the lowest one)	0.000	eV/atom
uncorrected energy	-4.138	eV/atom
Fermi-level density of states	0.661	states/eV/cell

a b c (Å): 6.315 6.315 3.957
angles (deg): 90.00 90.00 90.00
Positions (direct):
I1 0.500 0.000 0.000
O1 0.000 0.000 0.500
W1 0.000 0.000 0.000
I2 0.000 0.500 0.000
Rb1 0.500 0.500 0.500


(2)
VASP calculation (PBE+U) on RbWIO6 after structural relaxation.

Calculated values
symmetry	P312
uncorrected energy	-5.688	eV/atom
Fermi-level density of states	0.000	states/eV/cell

a b c (Å): 5.506 5.506 6.309
angles (deg): 90.00 90.00 60.00
Positions (direct):
W1 0.667 0.667 0.500
O1 0.403 0.982 0.679
O2 0.615 0.403 0.679
I1 0.333 0.333 0.500
O3 0.403 0.615 0.321
Rb1 0.000 0.000 0.000
O4 0.982 0.615 0.679
O5 0.615 0.982 0.321
O6 0.982 0.403 0.321


The records above yield total moment values of 3.00 0.00 μB per formula unit, respectively.